Density functional theory data (PBE) for crystalline Pu2MgSc at its relaxed geometry.

Unit cell a=3.998 b=3.998 c=6.522 alpha=90.00 beta=90.00 gamma=90.00
Space group P4/mmm (No. 123)
Unique sites:
Pu: 0.000 0.000 0.247
Mg: 0.500 0.500 0.000
Sc: 0.500 0.500 0.500

Crystal system: tetragonal
V (Å³ per atom): 26.066
Energy above the most stable polymorph in this dataset (meV per atom): 109
Electronic total energy (eV/atom): -8.88
Calculated formation energy (eV/f.u.): 1.1

=====

Density functional theory data (PBE) for crystalline PuMgSc2 at its relaxed geometry.

Unit cell a=3.2599 b=3.2599 c=10.5494 alpha=90.00 beta=90.00 gamma=120.00
Space group P-3m1 (No. 164)
Unique sites:
Pu: 0.0000 0.0000 0.0000
Mg: 0.0000 0.0000 0.5000
Sc: 0.3333 0.6667 0.7504

Crystal system: trigonal
V (Å³ per atom): 24.277
Energy above the most stable polymorph in this dataset (meV per atom): 17
Electronic total energy (eV/atom): -7.08
Calculated formation energy (eV/f.u.): 0.2

=====

Density functional theory data (PBE) for crystalline PuMg6Sc2 at its relaxed geometry.

Unit cell a=8.9422 b=8.9422 c=3.0857 alpha=90.00 beta=90.00 gamma=120.00
Space group P6/mmm (No. 191)
Unique sites:
Pu: 0.0000 0.0000 0.0000
Mg: 0.0000 0.3380 0.5000
Sc: 0.3333 0.6667 0.0000

Crystal system: hexagonal
V (Å³ per atom): 23.743
Electronic total energy (eV/atom): -4.04
Calculated formation energy (eV/f.u.): 0.2

=====

Density functional theory data (PBE) for crystalline Pu2MgSc at its relaxed geometry.

Unit cell a=3.2330 b=3.2330 c=33.5889 alpha=90.00 beta=90.00 gamma=120.00
Space group R-3m (No. 166, hexagonal axes)
Unique sites:
Pu: 0.0000 0.0000 0.2489
Mg: 0.0000 0.0000 0.0000
Sc: 0.0000 0.0000 0.5000

Crystal system: trigonal
V (Å³ per atom): 25.336
Energy above the most stable polymorph in this dataset (meV per atom): 12
Electronic total energy (eV/atom): -8.98
Calculated formation energy (eV/f.u.): 0.7

=====

Density functional theory data (PBE) for crystalline PuMgSc2 at its relaxed geometry.

Unit cell a=5.256 b=5.256 c=3.454 alpha=90.00 beta=90.00 gamma=90.00
Space group P4/mmm (No. 123)
Unique sites:
Pu: 0.000 0.000 0.000
Mg: 0.500 0.500 0.000
Sc: 0.000 0.500 0.500

Crystal system: tetragonal
V (Å³ per atom): 23.858
Energy above the most stable polymorph in this dataset (meV per atom): 54
Electronic total energy (eV/atom): -7.05
Calculated formation energy (eV/f.u.): 0.4

=====

Density functional theory data (PBE) for crystalline PuMgSc at its relaxed geometry.

Unit cell a=3.151 b=3.151 c=14.770 alpha=90.00 beta=90.00 gamma=90.00
Space group I4mm (No. 107)
Unique sites:
Pu: 0.000 0.000 0.000
Mg: 0.000 0.000 0.328
Sc: 0.000 0.000 0.668

Crystal system: tetragonal
V (Å³ per atom): 24.447
Energy above the most stable polymorph in this dataset (meV per atom): 18
Electronic total energy (eV/atom): -7.32
Calculated formation energy (eV/f.u.): 0.3

=====

Density functional theory data (PBE) for crystalline PuMgSc4 at its relaxed geometry.

Unit cell a=10.288 b=10.288 c=6.402 alpha=90.00 beta=90.00 gamma=90.00
Space group I4_1md (No. 109)
Unique sites:
Pu: 0.000 0.000 0.000
Mg: 0.000 0.000 0.490
Sc: 0.000 0.229 0.773
Sc: 0.000 0.247 0.252

Crystal system: tetragonal
V (Å³ per atom): 28.233
Energy above the most stable polymorph in this dataset (meV per atom): 651
Electronic total energy (eV/atom): -6.20
Calculated formation energy (eV/f.u.): 4.1

=====

Density functional theory data (PBE) for crystalline PuMg2Sc3 at its relaxed geometry.

Unit cell a=3.253 b=3.253 c=13.492 alpha=90.00 beta=90.00 gamma=90.00
Space group P4/mmm (No. 123)
Unique sites:
Pu: 0.000 0.000 0.000
Mg: 0.000 0.000 0.337
Sc: 0.500 0.500 0.170
Sc: 0.500 0.500 0.500

Crystal system: tetragonal
V (Å³ per atom): 23.799
Electronic total energy (eV/atom): -6.06
Calculated formation energy (eV/f.u.): 0.1

=====

Density functional theory data (PBE) for crystalline PuMgSc at its relaxed geometry.

Unit cell a=3.122 b=19.264 c=4.798 alpha=90.00 beta=90.00 gamma=90.00
Space group Cmcm (No. 63)
Unique sites:
Pu: 0.000 0.037 0.250
Mg: 0.000 0.208 0.250
Sc: 0.000 0.377 0.250

Crystal system: orthorhombic
V (Å³ per atom): 24.048
Energy above the most stable polymorph in this dataset (meV per atom): 40
Electronic total energy (eV/atom): -7.30
Calculated formation energy (eV/f.u.): 0.4

=====

Density functional theory data (PBE) for crystalline SmPuMgSc at its relaxed geometry.

Unit cell a=7.609 b=7.609 c=7.609 alpha=90.00 beta=90.00 gamma=90.00
Space group F-43m (No. 216)
Unique sites:
Sm: 0.000 0.000 0.000
Pu: 0.000 0.000 0.500
Mg: 0.250 0.250 0.750
Sc: 0.250 0.250 0.250

Crystal system: cubic
V (Å³ per atom): 27.531
Electronic total energy (eV/atom): -6.59
Calculated formation energy (eV/f.u.): 0.6

=====

Density functional theory data (PBE) for crystalline PuMgScSn at its relaxed geometry.

Unit cell a=7.321 b=7.321 c=7.321 alpha=90.00 beta=90.00 gamma=90.00
Space group F-43m (No. 216)
Unique sites:
Pu: 0.000 0.000 0.000
Mg: 0.250 0.250 0.250
Sc: 0.000 0.000 0.500
Sn: 0.250 0.250 0.750

Crystal system: cubic
V (Å³ per atom): 24.519
Electronic total energy (eV/atom): -6.78
Calculated formation energy (eV/f.u.): -0.9

=====

Density functional theory data (PBE) for crystalline PuThMgSc at its relaxed geometry.

Unit cell a=7.527 b=7.527 c=7.527 alpha=90.00 beta=90.00 gamma=90.00
Space group F-43m (No. 216)
Unique sites:
Pu: 0.000 0.000 0.000
Th: 0.250 0.250 0.250
Mg: 0.000 0.000 0.500
Sc: 0.250 0.250 0.750

Crystal system: cubic
V (Å³ per atom): 26.654
Electronic total energy (eV/atom): -7.22
Calculated formation energy (eV/f.u.): 0.8